# GGA-PBE MgZrBr2, relaxed
# Density (g/cm3): 4.32
# DFT total energy (eV/atom): -4.109
# Distance to the lowest polymorph of the same formula (meV/atom): 0.0
# E_form (uncorrected) (eV/atom): -0.7365
# Magnetization (μB per atom): 0.00
# DOS(E_F) (states/eV/atom): 0.501
data_MgZrBr2
_chemical_formula_sum 'Mg3 Zr3 Br6'
_cell_length_a 3.4276
_cell_length_b 3.4276
_cell_length_c 31.1713
_cell_angle_alpha 90.00
_cell_angle_beta 90.00
_cell_angle_gamma 120.00
_space_group_name_H-M_alt 'R -3 m'
_space_group_IT_number 166
_space_group_name_Hall '-R 3 2"'
loop_
_atom_site_label
_atom_site_type_symbol
_atom_site_fract_x
_atom_site_fract_y
_atom_site_fract_z
_atom_site_occupancy
Mg1 Mg 0.0000 0.0000 0.0000 1
Zr1 Zr 0.0000 0.0000 0.5000 1
Br1 Br 0.0000 0.0000 0.1036 1

=====

# GGA-PBE ReIr2N10Cl10, relaxed
# Density (g/cm3): 2.96
# DFT total energy (eV/atom): -4.613
# E_form (uncorrected) (eV/atom): 1.1213
# Magnetization (μB per atom): 0.13
# DOS(E_F) (states/eV/atom): 0.229
data_ReIr2N10Cl10
_chemical_formula_sum 'Re2 Ir4 N20 Cl20'
_cell_length_a 13.6650
_cell_length_b 9.2649
_cell_length_c 9.7847
_cell_angle_alpha 90.00
_cell_angle_beta 105.55
_cell_angle_gamma 90.00
_space_group_name_H-M_alt 'C 1 2/m 1'
_space_group_IT_number 12
loop_
_space_group_symop_operation_xyz
'x,y,z'
'-x,-y,-z'
'-x,y,-z'
'x,-y,z'
'x+1/2,y+1/2,z'
'-x+1/2,-y+1/2,-z'
'-x+1/2,y+1/2,-z'
'x+1/2,-y+1/2,z'
loop_
_atom_site_label
_atom_site_type_symbol
_atom_site_fract_x
_atom_site_fract_y
_atom_site_fract_z
_atom_site_occupancy
Re1 Re 0.0000 0.0000 0.0000 1
Ir1 Ir 0.1421 0.5000 0.2492 1
N1 N 0.0042 0.5000 0.2341 1
N2 N 0.1520 0.3608 0.4539 1
N3 N 0.1556 0.3412 0.1554 1
Cl1 Cl 0.0000 0.2519 0.0000 1
Cl2 Cl 0.0413 0.0000 0.2423 1
Cl3 Cl 0.1576 0.5000 0.5396 1
Cl4 Cl 0.1681 0.0000 0.0052 1
Cl5 Cl 0.1729 0.0000 0.6559 1

=====

# GGA-PBE Ce2DySe2S2, relaxed
# Density (g/cm3): 5.65
# DFT total energy (eV/atom): -6.183
# E_form (uncorrected) (eV/atom): -1.6548
# Magnetization (μB per atom): 0.39
# DOS(E_F) (states/eV/atom): 2.022
data_Ce2DySe2S2
_chemical_formula_sum 'Ce4 Dy2 Se4 S4'
_cell_length_a 5.1069
_cell_length_b 5.1069
_cell_length_c 14.9751
_cell_angle_alpha 90.00
_cell_angle_beta 90.00
_cell_angle_gamma 90.00
_space_group_name_H-M_alt 'I 4/m m m'
_space_group_IT_number 139
_space_group_name_Hall '-I 4 2'
loop_
_atom_site_label
_atom_site_type_symbol
_atom_site_fract_x
_atom_site_fract_y
_atom_site_fract_z
_atom_site_occupancy
Ce1 Ce 0.0000 0.0000 0.1224 1
Dy1 Dy 0.0000 0.0000 0.5000 1
Se1 Se 0.0000 0.0000 0.3139 1
S1 S 0.0000 0.5000 0.0000 1

=====

# GGA-PBE MnFe2Hg, relaxed
# Density (g/cm3): 10.47
# DFT total energy (eV/atom): -6.228
# Magnetization (μB per atom): 2.12
# DOS(E_F) (states/eV/atom): 0.944
data_MnFe2Hg
_chemical_formula_sum 'Mn2 Fe4 Hg2'
_cell_length_a 3.3685
_cell_length_b 4.2455
_cell_length_c 8.1417
_cell_angle_alpha 90.00
_cell_angle_beta 90.00
_cell_angle_gamma 90.00
_space_group_name_H-M_alt 'I m m 2'
_space_group_IT_number 44
loop_
_space_group_symop_operation_xyz
'x,y,z'
'-x,-y,z'
'-x,y,z'
'x,-y,z'
'x+1/2,y+1/2,z+1/2'
'-x+1/2,-y+1/2,z+1/2'
'-x+1/2,y+1/2,z+1/2'
'x+1/2,-y+1/2,z+1/2'
loop_
_atom_site_label
_atom_site_type_symbol
_atom_site_fract_x
_atom_site_fract_y
_atom_site_fract_z
_atom_site_occupancy
Mn1 Mn 0.0000 0.0000 0.0000 1
Fe1 Fe 0.0000 0.0000 0.4709 1
Fe2 Fe 0.0000 0.5000 0.7529 1
Hg1 Hg 0.0000 0.5000 0.2332 1

=====

# GGA-PBE Ac7Ge3N2, relaxed
# Density (g/cm3): 8.53
# DFT total energy (eV/atom): -5.561
# E_form (uncorrected) (eV/atom): -0.6222
# Magnetization (μB per atom): 0.00
# DOS(E_F) (states/eV/atom): 0.592
data_Ac7Ge3N2
_chemical_formula_sum 'Ac14 Ge6 N4'
_cell_length_a 5.2986
_cell_length_b 26.4393
_cell_length_c 5.0980
_cell_angle_alpha 90.00
_cell_angle_beta 90.00
_cell_angle_gamma 90.00
_space_group_name_H-M_alt 'C m m m'
_space_group_IT_number 65
_space_group_name_Hall '-C 2 2'
loop_
_atom_site_label
_atom_site_type_symbol
_atom_site_fract_x
_atom_site_fract_y
_atom_site_fract_z
_atom_site_occupancy
Ac1 Ac 0.0000 0.0000 0.0000 1
Ac2 Ac 0.0000 0.0973 0.5000 1
Ac3 Ac 0.0000 0.2018 0.0000 1
Ac4 Ac 0.0000 0.3987 0.0000 1
Ge1 Ge 0.0000 0.3166 0.5000 1
Ge2 Ge 0.0000 0.5000 0.5000 1
N1 N 0.0000 0.1054 0.0000 1

=====

# GGA-PBE SrLa3Ru, relaxed
# Density (g/cm3): 5.97
# DFT total energy (eV/atom): -5.204
# Distance to the lowest polymorph of the same formula (meV/atom): 123.5
# Magnetization (μB per atom): 0.00
# DOS(E_F) (states/eV/atom): 1.061
data_SrLa3Ru
_chemical_formula_sum 'Sr4 La12 Ru4'
_cell_length_a 17.0610
_cell_length_b 6.0395
_cell_length_c 6.7039
_cell_angle_alpha 90.00
_cell_angle_beta 102.70
_cell_angle_gamma 90.00
_space_group_name_H-M_alt 'C 1 2/m 1'
_space_group_IT_number 12
loop_
_space_group_symop_operation_xyz
'x,y,z'
'-x,-y,-z'
'-x,y,-z'
'x,-y,z'
'x+1/2,y+1/2,z'
'-x+1/2,-y+1/2,-z'
'-x+1/2,y+1/2,-z'
'x+1/2,-y+1/2,z'
loop_
_atom_site_label
_atom_site_type_symbol
_atom_site_fract_x
_atom_site_fract_y
_atom_site_fract_z
_atom_site_occupancy
Sr1 Sr 0.0764 0.0000 0.2979 1
La1 La 0.0356 0.5000 0.7860 1
La2 La 0.1902 0.0000 0.8963 1
La3 La 0.1992 0.5000 0.5287 1
Ru1 Ru 0.1505 0.5000 0.1106 1

=====

Question: Which value of DOS(E_F) does entry 3 give?
Answer: 2.022 states/eV/atom

=====

Question: Among the records above, which one has the lowest DOS(E_F)?
Answer: ReIr2N10Cl10

=====

Question: The highest DOS(E_F) belongs to which entry?
Answer: Ce2DySe2S2